Entry 1:
Entry from Alexandria: a relaxed structure of Sr3AcLa3Se8 (PBE).

Unit cell a=8.7442 b=8.7442 c=21.6427 alpha=90.00 beta=90.00 gamma=120.00
Last column: nearest neighbours and their distance in Å.
Space group R-3m (No. 166, hexagonal axes)
Asymmetric unit:
Sr 0.0000 0.5000 0.0000 [9 per cell]  6 Se 3.13-3.15
Ac 0.0000 0.0000 0.5000 [3 per cell]  6 Se 3.11
La 0.0000 0.5000 0.5000 [9 per cell]  6 Se 3.06-3.08
Se 0.0000 0.0000 0.2481 [6 per cell]  3 La 3.08, 3 Sr 3.13
Se 0.0054 0.5027 0.7525 [18 per cell]  2 La 3.06, 1 Ac 3.11, 2 Sr 3.15

Values from the calculation:
density of states at the Fermi level = 5.701 states/eV/f.u.
energy relative to the elements, uncorrected = -1.984 eV per atom
total DFT energy (no corrections) = -5.44 eV per atom



Entry 2:
Entry from Alexandria: a relaxed structure of Sr3AcLa2Se6 (PBE).

Unit cell a=7.5824 b=13.1224 c=7.6905 alpha=90.00 beta=109.19 gamma=90.00
Last column: nearest neighbours and their distance in Å.
Space group C2/m (No. 12)
Asymmetric unit:
Sr 0.0000 0.0000 0.0000 [2 per cell]  6 Se 3.09-3.13
Sr 0.0000 0.3343 0.0000 [4 per cell]  6 Se 3.09-3.13
Ac 0.0000 0.5000 0.5000 [2 per cell]  6 Se 3.14
La 0.0000 0.1668 0.5000 [4 per cell]  6 Se 3.09
Se 0.2442 0.0000 0.7481 [4 per cell]  2 La 3.09, 3 Sr 3.09-3.13, 1 Ac 3.14
Se 0.2479 0.1693 0.2515 [8 per cell]  2 La 3.09, 3 Sr 3.09-3.13, 1 Ac 3.14

Values from the calculation:
density of states at the Fermi level = 5.432 states/eV/f.u.
energy relative to the elements, uncorrected = -1.971 eV per atom
total DFT energy (no corrections) = -5.30 eV per atom



- total DFT energy (no corrections) of number 2 (Sr3AcLa2Se6)?
  -5.30 eV per atom



- What is the energy relative to the elements, uncorrected in the first record?
  -1.984 eV per atom



- Which value of energy relative to the elements, uncorrected does entry 2 give?
  -1.971 eV per atom



- What is the formula in the second record?
  Sr3AcLa2Se6